## i
{"formula": "MoWSe4", "functional": "PBE-GGA", "state": "optimized geometry", "cell": [[16.243, 0.000, 0.000], [0.000, 1.658, 2.872], [0.000, -1.658, 2.872]], "species": ["Mo", "W", "Se", "Se", "Se", "Se"], "fractional_positions": [[0.000, 0.000, 0.000], [0.500, 0.499, 0.499], [0.103, 0.333, 0.333], [0.396, 0.833, 0.833], [0.604, 0.833, 0.833], [0.897, 0.333, 0.333]], "total_magnetization_mub_per_cell": 0.00, "sg": "Amm2, No. 38"}

=====

## ii
{"formula": "MoWSe4", "functional": "PBE-GGA", "state": "optimized geometry", "cell": [[1.660, -6.827, 0.000], [1.660, 6.827, 0.000], [0.000, 0.000, 5.737]], "species": ["Mo", "W", "Se", "Se", "Se", "Se"], "fractional_positions": [[0.000, 0.000, 0.000], [0.500, 0.500, 0.498], [0.123, 0.877, 0.665], [0.377, 0.623, 0.165], [0.623, 0.377, 0.165], [0.877, 0.123, 0.665]], "total_magnetization_mub_per_cell": 0.00, "sg": "Cmm2, No. 35"}

=====

Which of them is most stable? Easy: i.

=====

## i
{"formula": "SrHgTeO", "functional": "PBE-GGA", "state": "optimized geometry", "cell": [[4.109, 0.000, 0.000], [0.000, 4.109, 0.000], [0.000, 0.000, 11.291]], "species": ["Sr", "Sr", "Hg", "Hg", "Te", "Te", "O", "O"], "fractional_positions": [[0.250, 0.250, 0.122], [0.750, 0.750, 0.878], [0.250, 0.750, 0.500], [0.750, 0.250, 0.500], [0.250, 0.250, 0.721], [0.750, 0.750, 0.279], [0.250, 0.250, 0.916], [0.750, 0.750, 0.084]], "sg": "P4/nmm, No. 129"}

=====

## ii
{"formula": "SrHgTeO", "functional": "PBE-GGA", "state": "optimized geometry", "cell": [[4.296, 0.000, 0.000], [0.000, 4.296, 0.000], [0.000, 0.000, 12.451]], "species": ["Sr", "Sr", "Hg", "Hg", "Te", "Te", "O", "O"], "fractional_positions": [[0.250, 0.250, 0.083], [0.750, 0.750, 0.917], [0.250, 0.250, 0.623], [0.750, 0.750, 0.377], [0.250, 0.250, 0.362], [0.750, 0.750, 0.638], [0.250, 0.750, 0.000], [0.750, 0.250, 0.000]], "sg": "P4/nmm, No. 129"}

=====

Which of them is most stable? Easy: ii.

=====

## i
{"formula": "Cu2Ag3", "functional": "PBE-GGA", "state": "optimized geometry", "cell": [[4.377, -1.996, 0.000], [4.377, 1.996, 0.000], [-0.170, 0.000, 8.898]], "species": ["Cu", "Cu", "Cu", "Cu", "Ag", "Ag", "Ag", "Ag", "Ag", "Ag"], "fractional_positions": [[0.103, 0.103, 0.293], [0.300, 0.300, 0.900], [0.700, 0.700, 0.100], [0.897, 0.897, 0.707], [0.000, 0.000, 0.000], [0.202, 0.202, 0.607], [0.398, 0.398, 0.192], [0.500, 0.500, 0.500], [0.602, 0.602, 0.808], [0.798, 0.798, 0.393]], "sg": "C2/m, No. 12"}

=====

## ii
{"formula": "Cu2Ag3", "functional": "PBE-GGA", "state": "optimized geometry", "cell": [[1.416, 0.817, 11.278], [-1.416, 0.817, 11.278], [0.000, -1.635, 11.278]], "species": ["Cu", "Cu", "Ag", "Ag", "Ag"], "fractional_positions": [[0.195, 0.195, 0.195], [0.805, 0.805, 0.805], [0.000, 0.000, 0.000], [0.407, 0.407, 0.407], [0.593, 0.593, 0.593]], "sg": "R-3m, No. 166"}

=====

## iii
{"formula": "Cu2Ag3", "functional": "PBE-GGA", "state": "optimized geometry", "cell": [[4.792, -1.437, 0.000], [4.792, 1.437, 0.000], [-1.529, 0.000, 11.246]], "species": ["Cu", "Cu", "Cu", "Cu", "Ag", "Ag", "Ag", "Ag", "Ag", "Ag"], "fractional_positions": [[0.014, 0.014, 0.374], [0.349, 0.349, 0.472], [0.651, 0.651, 0.528], [0.986, 0.986, 0.626], [0.144, 0.144, 0.057], [0.279, 0.279, 0.714], [0.432, 0.432, 0.171], [0.568, 0.568, 0.829], [0.721, 0.721, 0.286], [0.856, 0.856, 0.943]], "sg": "C2/m, No. 12"}

=====

Which of them is most stable? Easy: iii.

=====

## i
{"formula": "Cu2Ag3", "functional": "PBE-GGA", "state": "optimized geometry", "cell": [[4.856, 0.000, 0.000], [-0.842, 4.814, 0.000], [-1.692, -2.591, 6.663]], "species": ["Cu", "Cu", "Cu", "Cu", "Ag", "Ag", "Ag", "Ag", "Ag", "Ag"], "fractional_positions": [[0.000, 0.000, 0.000], [0.089, 0.192, 0.713], [0.275, 0.576, 0.092], [0.559, 0.186, 0.191], [0.167, 0.386, 0.384], [0.386, 0.786, 0.814], [0.473, 0.995, 0.495], [0.694, 0.379, 0.904], [0.789, 0.598, 0.602], [0.861, 0.796, 0.286]], "sg": "P1, No. 1"}

=====

## ii
{"formula": "Cu2Ag3", "functional": "PBE-GGA", "state": "optimized geometry", "cell": [[7.397, -1.429, 0.000], [7.397, 1.429, 0.000], [-1.919, 0.000, 7.336]], "species": ["Cu", "Cu", "Cu", "Cu", "Ag", "Ag", "Ag", "Ag", "Ag", "Ag"], "fractional_positions": [[0.112, 0.112, 0.043], [0.299, 0.299, 0.129], [0.701, 0.701, 0.871], [0.888, 0.888, 0.957], [0.101, 0.101, 0.561], [0.297, 0.297, 0.667], [0.498, 0.498, 0.779], [0.502, 0.502, 0.221], [0.703, 0.703, 0.333], [0.899, 0.899, 0.439]], "sg": "C2/m, No. 12"}

=====

## iii
{"formula": "Cu2Ag3", "functional": "PBE-GGA", "state": "optimized geometry", "cell": [[11.273, -1.429, 0.000], [11.273, 1.429, 0.000], [-0.403, 0.000, 4.859]], "species": ["Cu", "Cu", "Cu", "Cu", "Ag", "Ag", "Ag", "Ag", "Ag", "Ag"], "fractional_positions": [[0.158, 0.158, 0.053], [0.253, 0.253, 0.781], [0.747, 0.747, 0.219], [0.842, 0.842, 0.947], [0.053, 0.053, 0.349], [0.340, 0.340, 0.447], [0.443, 0.443, 0.144], [0.557, 0.557, 0.856], [0.660, 0.660, 0.553], [0.947, 0.947, 0.651]], "sg": "C2/m, No. 12"}

=====

Which of them is most stable? Easy: ii.

=====

## i
{"formula": "Cu2Ag3", "functional": "PBE-GGA", "state": "optimized geometry", "cell": [[3.930, 0.000, 0.000], [0.000, 1.995, 9.941], [0.000, -1.995, 9.941]], "species": ["Cu", "Cu", "Cu", "Cu", "Ag", "Ag", "Ag", "Ag", "Ag", "Ag"], "fractional_positions": [[0.000, 0.000, 0.000], [0.000, 0.194, 0.194], [0.000, 0.597, 0.597], [0.500, 0.290, 0.290], [0.000, 0.395, 0.395], [0.000, 0.791, 0.791], [0.500, 0.096, 0.096], [0.500, 0.499, 0.499], [0.500, 0.693, 0.693], [0.500, 0.895, 0.895]], "sg": "Amm2, No. 38"}

=====

## ii
{"formula": "Cu2Ag3", "functional": "PBE-GGA", "state": "optimized geometry", "cell": [[2.838, 0.000, 0.000], [0.000, 3.831, 0.000], [0.000, 0.000, 14.259]], "species": ["Cu", "Cu", "Cu", "Cu", "Ag", "Ag", "Ag", "Ag", "Ag", "Ag"], "fractional_positions": [[0.000, 0.000, 0.000], [0.000, 0.000, 0.192], [0.000, 0.000, 0.587], [0.500, 0.500, 0.498], [0.000, 0.000, 0.403], [0.000, 0.000, 0.792], [0.500, 0.500, 0.097], [0.500, 0.500, 0.292], [0.500, 0.500, 0.682], [0.500, 0.500, 0.901]], "sg": "Pmm2, No. 25"}

=====

## iii
{"formula": "Cu2Ag3", "functional": "PBE-GGA", "state": "optimized geometry", "cell": [[5.968, -1.421, 0.000], [5.968, 1.421, 0.000], [-1.524, 0.000, 9.192]], "species": ["Cu", "Cu", "Cu", "Cu", "Ag", "Ag", "Ag", "Ag", "Ag", "Ag"], "fractional_positions": [[0.044, 0.044, 0.131], [0.358, 0.358, 0.045], [0.642, 0.642, 0.955], [0.956, 0.956, 0.869], [0.148, 0.148, 0.448], [0.259, 0.259, 0.773], [0.449, 0.449, 0.331], [0.551, 0.551, 0.669], [0.741, 0.741, 0.227], [0.852, 0.852, 0.552]], "sg": "C2/m, No. 12"}

=====

Which of them is most stable? Easy: iii.

=====

## i
{"formula": "Cu2Ag3", "functional": "PBE-GGA", "state": "optimized geometry", "cell": [[6.889, 0.000, 0.000], [0.000, 2.846, 0.000], [-1.915, 0.000, 7.954]], "species": ["Cu", "Cu", "Cu", "Cu", "Ag", "Ag", "Ag", "Ag", "Ag", "Ag"], "fractional_positions": [[0.141, 0.250, 0.466], [0.242, 0.750, 0.730], [0.758, 0.250, 0.270], [0.859, 0.750, 0.534], [0.047, 0.750, 0.172], [0.339, 0.250, 0.033], [0.454, 0.750, 0.348], [0.546, 0.250, 0.652], [0.661, 0.750, 0.967], [0.953, 0.250, 0.828]], "sg": "P2_1/m, No. 11"}

=====

## ii
{"formula": "Cu2Ag3", "functional": "PBE-GGA", "state": "optimized geometry", "cell": [[4.835, 0.000, 0.000], [-0.850, 4.780, 0.000], [-1.545, -2.686, 6.751]], "species": ["Cu", "Cu", "Cu", "Cu", "Ag", "Ag", "Ag", "Ag", "Ag", "Ag"], "fractional_positions": [[0.084, 0.190, 0.181], [0.195, 0.393, 0.907], [0.805, 0.607, 0.093], [0.916, 0.810, 0.819], [0.000, 0.000, 0.500], [0.302, 0.601, 0.607], [0.379, 0.781, 0.285], [0.500, 0.000, 0.000], [0.621, 0.219, 0.715], [0.698, 0.399, 0.393]], "sg": "P-1, No. 2"}

=====

Which of them is most stable? Easy: i.